# 1
# InGeF3 PBE-GGA relaxed
data_InGeF3
_cell_length_a 4.893
_cell_length_b 9.415
_cell_length_c 5.505
_cell_angle_alpha 90.00
_cell_angle_beta 111.43
_cell_angle_gamma 90.00
_space_group_name_H-M_alt 'P 1 21 1'
_space_group_IT_number 4
loop_
_space_group_symop_operation_xyz
'x,y,z'
'-x,y+1/2,-z'
loop_
_atom_site_label
_atom_site_fract_x
_atom_site_fract_y
_atom_site_fract_z
In1 0.116 0.000 0.359
Ge1 0.474 0.211 0.920
F1 0.156 0.130 0.990
F2 0.270 0.693 0.729
F3 0.348 0.397 0.969
# - Formation energy without anion corrections: -1.951 eV/atom


# 2
Compound: LiPr8Co2
Source: Alexandria
Functional: PBE-GGA
Structure: relaxed

Cell and atoms, written as CIF:
```
data_LiPr8Co2
_cell_length_a 8.486
_cell_length_b 13.944
_cell_length_c 5.837
_cell_angle_alpha 90.00
_cell_angle_beta 103.49
_cell_angle_gamma 90.00
_space_group_name_H-M_alt 'C 1 m 1'
_space_group_IT_number 8
loop_
_space_group_symop_operation_xyz
'x,y,z'
'x,-y,z'
'x+1/2,y+1/2,z'
'x+1/2,-y+1/2,z'
loop_
_atom_site_label
_atom_site_fract_x
_atom_site_fract_y
_atom_site_fract_z
Li1 0.000 0.000 0.000
Pr1 0.001 0.249 0.999
Pr2 0.099 0.500 0.797
Pr3 0.214 0.129 0.561
Pr4 0.287 0.371 0.436
Pr5 0.402 0.000 0.200
Co1 0.000 0.286 0.498
```


Calculated electronic total energy in order - -4.545, -4.866 eV per atom